LiLaMn2: relaxed, PBE.

```
data_LiLaMn2
_cell_length_a 5.290
_cell_length_b 5.290
_cell_length_c 5.290
_cell_angle_alpha 133.37
_cell_angle_beta 133.37
_cell_angle_gamma 68.08
_symmetry_space_group_name_H-M 'P 1'
_symmetry_Int_Tables_number 1
_symmetry_space_group_name_Hall 'P 1'
loop_
_atom_site_label
_atom_site_fract_x
_atom_site_fract_y
_atom_site_fract_z
La1 0.250 0.750 0.500
Li1 0.750 0.250 0.500
Mn1 0.000 0.000 0.000
Mn2 0.500 0.500 0.000
```

## Properties
energy relative to the elements	481	meV per atom
energy	-0.2137	Ha/atom
density	5.5	Mg/m³
calculated volume	19.2	A^3/atom